Entry from the Alexandria database: AsPb5 at its PBEsol-relaxed geometry (meta-GGA SCAN).

a b c (Å): 3.619 3.619 12.783
angles (deg): 90.00 90.00 90.00
Space group P4/mmm (No. 123)
Inequivalent atoms, fractional coordinates:
1 As 0.000 0.000 0.000
2 Pb 0.000 0.000 0.323
3 Pb 0.500 0.500 0.135
4 Pb 0.500 0.500 0.500

Properties
Fermi-level density of states: 3.49 states/eV/cell
formation energy from the elements: 0.490 eV/f.u.
polymorph energy (0 for the lowest one): 0.000 eV per atom
V: 167.4 Å³ per cell

=====

Entry from the Alexandria database: Al2NiIr at its PBEsol-relaxed geometry (meta-GGA SCAN).

a b c (Å): 8.971 2.882 4.194
angles (deg): 90.00 107.00 90.00
Space group Cm (No. 8)
Inequivalent atoms, fractional coordinates:
1 Al 0.000 0.000 0.000
2 Al 0.236 0.000 0.631
3 Ni 0.236 0.500 0.123
4 Ir 0.494 0.000 0.496

Properties
Fermi-level density of states: 3.78 states/eV/cell
formation energy from the elements: -3.477 eV/f.u.
V: 103.7 Å³ per cell

=====

Entry from the Alexandria database: Li4Mn3Cr2Fe3O16 at its PBEsol-relaxed geometry (meta-GGA SCAN).

a b c (Å): 9.702 5.601 9.283
angles (deg): 90.00 90.18 90.00
Space group Cm (No. 8)
Inequivalent atoms, fractional coordinates:
1 Li 0.000 0.000 0.000
2 Li 0.001 0.000 0.504
3 Li 0.173 0.500 0.902
4 Li 0.339 0.000 0.402
5 Mn 0.090 0.254 0.220
6 Mn 0.173 0.000 0.719
7 Cr 0.172 0.500 0.495
8 Cr 0.338 0.000 0.992
9 Fe 0.333 0.500 0.220
10 Fe 0.418 0.238 0.720
11 O 0.001 0.000 0.812
12 O 0.004 0.000 0.317
13 O 0.024 0.500 0.344
14 O 0.086 0.248 0.606
15 O 0.167 0.000 0.105
16 O 0.169 0.500 0.111
17 O 0.246 0.277 0.345
18 O 0.263 0.221 0.844
19 O 0.335 0.000 0.609
20 O 0.341 0.500 0.611
21 O 0.421 0.255 0.108
22 O 0.487 0.000 0.846

Properties
Fermi-level density of states: 2.70 states/eV/cell
formation energy without anion corrections: -205.8 kJ per mole of atoms
V: 504.5 Å³ per cell

=====

Entry from the Alexandria database: TaCrAu2 at its PBEsol-relaxed geometry (meta-GGA SCAN).

a b c (Å): 3.908 3.908 8.245
angles (deg): 90.00 90.00 90.00
Space group I4/mmm (No. 139)
Inequivalent atoms, fractional coordinates:
1 Ta 0.000 0.000 0.000
2 Cr 0.000 0.000 0.500
3 Au 0.000 0.500 0.250

Properties
Fermi-level density of states: 4.51 states/eV/cell
formation energy from the elements: -0.232 eV/f.u.
polymorph energy (0 for the lowest one): 0.000 eV per atom
V: 125.9 Å³ per cell

=====

Entry from the Alexandria database: Be3Nb at its PBEsol-relaxed geometry (meta-GGA SCAN).

a b c (Å): 4.5410 4.5410 20.9217
angles (deg): 90.00 90.00 120.00
Space group R-3m (No. 166, hexagonal axes)
Inequivalent atoms, fractional coordinates:
1 Be 0.0000 0.0000 0.0000
2 Be 0.0000 0.0000 0.1656
3 Be 0.0057 0.5028 0.4188
4 Nb 0.0000 0.0000 0.3598
5 Nb 0.0000 0.0000 0.5000

Properties
Fermi-level density of states: 8.63 states/eV/cell
formation energy from the elements: -0.962 eV/f.u.
V: 373.6 Å³ per cell

=====

Entry from the Alexandria database: Li2Cu3F9 at its PBEsol-relaxed geometry (meta-GGA SCAN).

a b c (Å): 5.843 7.390 7.666
angles (deg): 108.15 95.02 101.74
Space group P-1 (No. 2)
Inequivalent atoms, fractional coordinates:
1 Li 0.078 0.451 0.317
2 Li 0.079 0.200 0.509
3 Cu 0.249 0.009 0.001
4 Cu 0.254 0.509 0.993
5 Cu 0.449 0.812 0.533
6 F 0.021 0.039 0.177
7 F 0.136 0.380 0.750
8 F 0.144 0.713 0.959
9 F 0.152 0.668 0.556
10 F 0.277 0.003 0.499
11 F 0.334 0.327 0.422
12 F 0.338 0.631 0.244
13 F 0.347 0.296 0.021
14 F 0.478 0.959 0.826

Properties
Fermi-level density of states: 3.65 states/eV/cell
formation energy without anion corrections: -202.5 kJ per mole of atoms
V: 303.9 Å³ per cell

=====

Among the records above, which one has the highest V? Li4Mn3Cr2Fe3O16

=====

The highest V belongs to which entry? Li4Mn3Cr2Fe3O16